No. 1
Tb7Ge5Au: optimized geometry, GGA-PBE.

abc: 5.994 7.930 7.930
angles: 86.36 67.79 67.79
Fractional positions:
1 Tb 0.286 0.214 0.214
2 Ge 0.031 0.482 0.004
3 Tb 0.536 0.799 0.130
4 Tb 0.536 0.130 0.799
5 Ge 0.768 0.732 0.732
6 Ge 0.482 0.004 0.482
7 Tb 0.257 0.743 0.743
8 Ge 0.482 0.482 0.004
9 Au 0.957 0.043 0.043
10 Ge 0.031 0.004 0.482
11 Tb 0.989 0.685 0.336
12 Tb 0.657 0.343 0.343
13 Tb 0.989 0.336 0.685

Output
E_tot in eV per cell: -65.91
D(E_F) in states/eV/atom: 0.631

No. 2
SrH6Ir: optimized geometry, GGA-PBE.

abc: 4.377 4.377 9.050
angles: 104.63 104.63 68.45
Fractional positions:
1 H 0.600 0.053 0.194
2 H 0.559 0.593 0.012
3 H 0.947 0.400 0.306
4 H 0.233 0.118 0.537
5 Ir 0.000 0.500 0.500
6 Sr 0.773 0.227 0.750
7 H 0.407 0.441 0.488
8 H 0.882 0.767 0.963
9 H 0.441 0.407 0.988
10 H 0.767 0.882 0.463
11 H 0.593 0.559 0.512
12 Sr 0.227 0.773 0.250
13 H 0.400 0.947 0.806
14 Ir 0.500 0.000 0.000
15 H 0.053 0.600 0.694
16 H 0.118 0.233 0.037

Output
E_tot in eV per cell: -65.50
D(E_F) in states/eV/atom: 0.125

No. 3
Cs3Th3AgTe8: optimized geometry, GGA-PBE.

abc: 9.189 9.182 10.484
angles: 115.93 90.00 120.01
Fractional positions:
1 Cs 0.500 0.500 0.000
2 Te 0.767 0.535 0.313
3 Te 0.267 0.535 0.302
4 Cs 0.000 0.500 0.000
5 Th 0.000 0.500 0.500
6 Te 0.279 0.046 0.312
7 Te 0.721 0.954 0.688
8 Te 0.733 0.465 0.698
9 Ag 0.000 0.000 0.500
10 Cs 0.000 0.000 0.000
11 Th 0.500 0.000 0.500
12 Th 0.500 0.500 0.500
13 Te 0.233 0.954 0.688
14 Te 0.767 0.046 0.312
15 Te 0.233 0.465 0.687

Output
E_tot in eV per cell: -68.79

No. 4
BaAgSb2I: optimized geometry, GGA-PBE.

abc: 5.350 5.350 6.360
angles: 90.00 90.00 90.00
Fractional positions:
1 Sb 0.500 0.000 0.000
2 Ag 0.000 0.000 0.000
3 I 0.000 0.000 0.500
4 Sb 0.000 0.500 0.000
5 Ba 0.500 0.500 0.500

Output
Relative energy among the computed polymorphs in meV/atom: 0
D(E_F) in states/eV/atom: 1.388

No. 5
LiPd4: optimized geometry, GGA-PBE.

abc: 4.226 4.226 4.226
angles: 90.00 90.00 90.00
Fractional positions:
1 Pd 0.500 0.000 0.500
2 Pd 0.000 0.500 0.500
3 Li 0.500 0.500 0.500
4 Pd 0.500 0.500 0.000
5 Pd 0.000 0.000 0.000

Output
Relative energy among the computed polymorphs in meV/atom: 489
D(E_F) in states/eV/atom: 2.096

No. 6
YNiOs: optimized geometry, GGA-PBE.

abc: 7.083 4.271 10.142
angles: 90.00 133.91 90.00
Fractional positions:
1 Y 0.241 0.000 0.890
2 Y 0.241 0.500 0.390
3 Ni 0.039 0.000 0.482
4 Y 0.636 0.500 0.276
5 Os 0.843 0.000 0.154
6 Ni 0.039 0.500 0.982
7 Ni 0.224 0.500 0.678
8 Os 0.843 0.500 0.654
9 Y 0.636 0.000 0.776
10 Ni 0.224 0.000 0.178
11 Os 0.655 0.500 0.999
12 Os 0.655 0.000 0.499

Output
Relative energy among the computed polymorphs in meV/atom: 183
D(E_F) in states/eV/atom: 0.801